P:
Density functional theory data (GGA-PBEsol) for a relaxed structure of ZrAuCl.

size of the total moment	0.000	μB per formula unit
space-group type	No. 216

Cell: 4.482 4.482 4.482 Å, 60.00 60.00 60.00°
Atoms (fractional coordinates):
Au 0.000 0.000 0.000
Zr 0.250 0.250 0.250
Cl 0.500 0.500 0.500


Q:
Density functional theory data (GGA-PBEsol) for a relaxed structure of ZrAuCl.

size of the total moment	0.000	μB per formula unit
space-group type	No. 156

Cell: 3.209 3.209 6.872 Å, 90.00 90.00 120.00°
Atoms (fractional coordinates):
Au 0.000 0.000 0.038
Zr 0.333 0.667 0.349
Cl 0.667 0.333 0.613


Energy relative to the most stable one, in meV per atom: P 391; Q 0


P:
Density functional theory data (GGA-PBEsol) for a relaxed structure of CrCoAu2.

size of the total moment	3.462	μB per formula unit
space-group type	No. 8

Cell: 2.821 4.585 4.788 Å, 105.61 107.13 90.00°
Site moments in Bohr magnetons follow the coordinates.
Atoms (fractional coordinates):
Au 0.989 0.977 0.977  0.04
Au 0.763 0.275 0.525  0.03
Co 0.520 0.503 0.040  1.01
Cr 0.229 0.744 0.458  2.27


Q:
Density functional theory data (GGA-PBEsol) for a relaxed structure of CrCoAu2.

size of the total moment	3.023	μB per formula unit
space-group type	No. 123

Cell: 3.786 3.892 3.892 Å, 90.00 90.00 90.00°
Site moments in Bohr magnetons follow the coordinates.
Atoms (fractional coordinates):
Au 0.000 0.000 0.500  0.10
Au 0.000 0.500 0.000  0.10
Co 0.500 0.500 0.500  -0.60
Cr 0.500 0.000 0.000  3.19


R:
Density functional theory data (GGA-PBEsol) for a relaxed structure of CrCoAu2.

size of the total moment	1.079	μB per formula unit
space-group type	No. 99

Cell: 2.729 2.729 7.471 Å, 90.00 90.02 90.00°
Site moments in Bohr magnetons follow the coordinates.
Atoms (fractional coordinates):
Au 0.000 0.000 0.976  0.04
Au 0.500 0.500 0.278  0.00
Co 0.000 0.000 0.535  -0.09
Cr 0.500 0.500 0.711  1.06


Energy relative to the most stable one, in meV per atom: P 105; Q 77; R 0


P:
Density functional theory data (GGA-PBEsol) for a relaxed structure of FeCoAu2.

size of the total moment	4.391	μB per formula unit
space-group type	No. 225

Cell: 4.301 4.301 4.301 Å, 60.00 60.00 60.00°
Site moments in Bohr magnetons follow the coordinates.
Atoms (fractional coordinates):
Au 0.250 0.250 0.250  0.03
Au 0.750 0.750 0.750  0.03
Co 0.000 0.000 0.000  1.50
Fe 0.500 0.500 0.500  2.87


Q:
Density functional theory data (GGA-PBEsol) for a relaxed structure of FeCoAu2.

size of the total moment	4.510	μB per formula unit
space-group type	No. 119

Cell: 3.820 3.820 4.696 Å, 114.00 114.00 90.00°
Site moments in Bohr magnetons follow the coordinates.
Atoms (fractional coordinates):
Au 0.000 0.000 0.000  0.06
Au 0.750 0.250 0.500  0.04
Co 0.500 0.500 0.000  1.57
Fe 0.250 0.750 0.500  2.90


Energy relative to the most stable one, in meV per atom: P 109; Q 0


P:
Density functional theory data (GGA-PBEsol) for a relaxed structure of FeCoAu2.

size of the total moment	4.681	μB per formula unit
space-group type	No. 123

Cell: 3.813 3.841 3.841 Å, 90.00 90.00 90.00°
Site moments in Bohr magnetons follow the coordinates.
Atoms (fractional coordinates):
Au 0.000 0.000 0.500  0.06
Au 0.000 0.500 0.000  0.06
Co 0.500 0.500 0.500  1.63
Fe 0.500 0.000 0.000  2.96


Q:
Density functional theory data (GGA-PBEsol) for a relaxed structure of FeCoAu2.

size of the total moment	4.578	μB per formula unit
space-group type	No. 8

Cell: 2.879 4.507 4.822 Å, 108.33 107.37 90.00°
Site moments in Bohr magnetons follow the coordinates.
Atoms (fractional coordinates):
Au 0.986 0.971 0.972  0.04
Au 0.766 0.281 0.531  0.03
Co 0.525 0.501 0.049  1.67
Fe 0.224 0.746 0.448  2.85


Energy relative to the most stable one, in meV per atom: P 41; Q 0


P:
Density functional theory data (GGA-PBEsol) for a relaxed structure of Co2IrAu.

size of the total moment	4.624	μB per formula unit
space-group type	No. 225

Cell: 4.209 4.209 4.209 Å, 60.00 60.00 60.00°
Site moments in Bohr magnetons follow the coordinates.
Atoms (fractional coordinates):
Co 0.250 0.250 0.250  1.79
Co 0.750 0.750 0.750  1.79
Ir 0.500 0.500 0.500  0.98
Au 0.000 0.000 0.000  0.06


Q:
Density functional theory data (GGA-PBEsol) for a relaxed structure of Co2IrAu.

size of the total moment	3.812	μB per formula unit
space-group type	No. 8

Cell: 2.678 4.514 4.622 Å, 102.02 106.84 90.00°
Site moments in Bohr magnetons follow the coordinates.
Atoms (fractional coordinates):
Co 0.012 0.004 0.024  1.57
Co 0.744 0.260 0.487  1.72
Ir 0.490 0.466 0.980  0.46
Au 0.255 0.770 0.509  0.09


Energy relative to the most stable one, in meV per atom: P 126; Q 0


P:
Density functional theory data (GGA-PBEsol) for a relaxed structure of KCo2Au.

size of the total moment	3.196	μB per formula unit
space-group type	No. 10

Cell: 2.641 5.139 5.143 Å, 112.73 90.00 90.00°
Site moments in Bohr magnetons follow the coordinates.
Atoms (fractional coordinates):
Au 0.000 0.500 0.500  0.00
Co 0.000 0.000 0.000  1.67
Co 0.500 0.000 0.500  1.73
K 0.500 0.500 0.000  -0.04


Q:
Density functional theory data (GGA-PBEsol) for a relaxed structure of KCo2Au.

size of the total moment	3.167	μB per formula unit
space-group type	No. 99

Cell: 2.901 2.901 8.077 Å, 90.00 90.00 90.00°
Site moments in Bohr magnetons follow the coordinates.
Atoms (fractional coordinates):
Au 0.000 0.500 0.814  -0.02
Co 0.500 0.000 0.034  1.67
Co 0.000 0.500 0.165  1.67
K 0.500 0.000 0.487  -0.03


Energy relative to the most stable one, in meV per atom: P 496; Q 0


P:
Density functional theory data (GGA-PBEsol) for a relaxed structure of CoMoAu2.

size of the total moment	0.001	μB per formula unit
space-group type	No. 44

Cell: 2.802 4.613 5.353 Å, 115.52 105.17 90.00°
Atoms (fractional coordinates):
Co 0.514 0.514 0.029
Mo 0.216 0.716 0.433
Au 0.995 0.995 0.989
Au 0.775 0.275 0.549


Q:
Density functional theory data (GGA-PBEsol) for a relaxed structure of CoMoAu2.

size of the total moment	1.771	μB per formula unit
space-group type	No. 123

Cell: 2.708 4.754 4.754 Å, 90.00 90.00 90.00°
Site moments in Bohr magnetons follow the coordinates.
Atoms (fractional coordinates):
Co 0.500 0.500 0.500  1.84
Mo 0.500 0.000 0.000  -0.05
Au 0.000 0.000 0.500  0.02
Au 0.000 0.500 0.000  0.02


Energy relative to the most stable one, in meV per atom: P 0; Q 128


P:
Density functional theory data (GGA-PBEsol) for a relaxed structure of CoNiAu.

size of the total moment	2.346	μB per formula unit
space-group type	No. 107

Cell: 2.965 2.965 4.816 Å, 107.93 107.93 90.00°
Site moments in Bohr magnetons follow the coordinates.
Atoms (fractional coordinates):
Ni 0.683 0.683 0.366  0.61
Au 0.001 0.001 0.002  0.02
Co 0.316 0.316 0.631  1.75


Q:
Density functional theory data (GGA-PBEsol) for a relaxed structure of CoNiAu.

size of the total moment	2.489	μB per formula unit
space-group type	No. 216

Cell: 3.968 3.968 3.968 Å, 60.00 60.00 60.00°
Site moments in Bohr magnetons follow the coordinates.
Atoms (fractional coordinates):
Ni 0.000 0.000 0.000  0.68
Au 0.500 0.500 0.500  0.09
Co 0.250 0.250 0.250  1.75


Energy relative to the most stable one, in meV per atom: P 0; Q 380


P:
Density functional theory data (GGA-PBEsol) for a relaxed structure of Co2OsAu.

size of the total moment	2.894	μB per formula unit
space-group type	No. 123

Cell: 3.034 3.034 5.636 Å, 90.00 90.00 90.00°
Site moments in Bohr magnetons follow the coordinates.
Atoms (fractional coordinates):
Os 0.500 0.500 0.000  0.47
Au 0.500 0.500 0.500  0.03
Co 0.000 0.000 0.778  1.19
Co 0.000 0.000 0.222  1.19


Q:
Density functional theory data (GGA-PBEsol) for a relaxed structure of Co2OsAu.

size of the total moment	0.484	μB per formula unit
space-group type	No. 123

Cell: 2.653 2.653 7.247 Å, 90.00 90.00 90.00°
Site moments in Bohr magnetons follow the coordinates.
Atoms (fractional coordinates):
Os 0.500 0.500 0.000  0.01
Au 0.500 0.500 0.500  0.01
Co 0.000 0.000 0.770  0.24
Co 0.000 0.000 0.230  0.24


Energy relative to the most stable one, in meV per atom: P 158; Q 0


P:
Density functional theory data (GGA-PBEsol) for a relaxed structure of CoOs2Au.

size of the total moment	2.186	μB per formula unit
space-group type	No. 12

Cell: 2.687 4.580 5.332 Å, 115.13 104.10 91.11°
Site moments in Bohr magnetons follow the coordinates.
Atoms (fractional coordinates):
Os 0.000 0.000 0.500  0.24
Os 0.500 0.500 0.500  0.24
Au 0.500 0.000 0.000  0.05
Co 0.000 0.500 0.000  1.64


Q:
Density functional theory data (GGA-PBEsol) for a relaxed structure of CoOs2Au.

size of the total moment	0.578	μB per formula unit
space-group type	No. 47

Cell: 2.656 3.678 5.681 Å, 90.00 90.00 90.00°
Site moments in Bohr magnetons follow the coordinates.
Atoms (fractional coordinates):
Os 0.000 0.000 0.715  0.01
Os 0.000 0.000 0.285  0.01
Au 0.500 0.500 0.000  0.00
Co 0.500 0.500 0.500  0.58


R:
Density functional theory data (GGA-PBEsol) for a relaxed structure of CoOs2Au.

size of the total moment	1.167	μB per formula unit
space-group type	No. 8

Cell: 2.716 4.635 4.678 Å, 99.67 90.00 107.04°
Site moments in Bohr magnetons follow the coordinates.
Atoms (fractional coordinates):
Os 0.002 0.004 0.990  0.08
Os 0.256 0.512 0.785  0.01
Au 0.498 0.995 0.485  0.02
Co 0.744 0.488 0.240  1.07


S:
Density functional theory data (GGA-PBEsol) for a relaxed structure of CoOs2Au.

size of the total moment	1.900	μB per formula unit
space-group type	No. 35

Cell: 2.669 2.669 9.150 Å, 90.00 90.00 118.16°
Site moments in Bohr magnetons follow the coordinates.
Atoms (fractional coordinates):
Os 0.000 0.000 0.010  0.32
Os 0.500 0.500 0.765  0.01
Au 0.000 0.000 0.487  0.00
Co 0.500 0.500 0.238  1.58


Energy relative to the most stable one, in meV per atom: P 280; Q 94; R 0; S 178


P:
Density functional theory data (GGA-PBEsol) for a relaxed structure of CoP2Au.

size of the total moment	0.515	μB per formula unit
space-group type	No. 139

Cell: 4.026 4.407 4.026 Å, 62.82 90.00 117.18°
Site moments in Bohr magnetons follow the coordinates.
Atoms (fractional coordinates):
Au 0.500 0.000 0.500  -0.02
Co 0.000 0.000 0.000  0.60
P 0.250 0.500 0.250  -0.01
P 0.750 0.500 0.750  -0.01


Q:
Density functional theory data (GGA-PBEsol) for a relaxed structure of CoP2Au.

size of the total moment	0.001	μB per formula unit
space-group type	No. 160

Cell: 3.103 3.103 6.889 Å, 76.98 76.98 60.00°
Atoms (fractional coordinates):
Au 0.497 0.497 0.508
Co 0.266 0.266 0.203
P 0.993 0.993 0.020
P 0.744 0.744 0.769


R:
Density functional theory data (GGA-PBEsol) for a relaxed structure of CoP2Au.

size of the total moment	0.866	μB per formula unit
space-group type	No. 216

Cell: 4.292 4.292 4.292 Å, 60.00 60.00 60.00°
Site moments in Bohr magnetons follow the coordinates.
Atoms (fractional coordinates):
Au 0.500 0.500 0.500  0.00
Co 0.250 0.250 0.250  0.96
P 0.000 0.000 0.000  -0.02
P 0.750 0.750 0.750  -0.01


Energy relative to the most stable one, in meV per atom: P 288; Q 0; R 507


P:
Density functional theory data (GGA-PBEsol) for a relaxed structure of Co2PtAu.

size of the total moment	3.960	μB per formula unit
space-group type	No. 65

Cell: 2.699 4.548 4.548 Å, 107.68 90.00 90.00°
Site moments in Bohr magnetons follow the coordinates.
Atoms (fractional coordinates):
Co 0.000 0.500 0.000  1.77
Co 0.000 0.000 0.500  1.77
Au 0.500 0.500 0.500  0.09
Pt 0.500 0.000 0.000  0.35


Q:
Density functional theory data (GGA-PBEsol) for a relaxed structure of Co2PtAu.

size of the total moment	3.897	μB per formula unit
space-group type	No. 119

Cell: 3.739 3.739 4.642 Å, 113.75 113.75 90.00°
Site moments in Bohr magnetons follow the coordinates.
Atoms (fractional coordinates):
Co 0.000 0.000 0.000  1.76
Co 0.750 0.250 0.500  1.77
Au 0.250 0.750 0.500  0.10
Pt 0.500 0.500 0.000  0.31


Energy relative to the most stable one, in meV per atom: P 0; Q 14